Density functional theory data (PBE) for a relaxed Ac2SmErSe5 crystal.

Computed properties:
- density (g/cm³) = 7.28
- electronic total energy (eV/atom) = -5.700
- crystal system = orthorhombic
- formation energy (no corrections) (eV/atom) = -1.820

a = 4.221 Å, b = 17.830 Å, c = 14.144 Å
α = 90.00°, β = 90.00°, γ = 90.00°
Space group Cmc2_1 (No. 36)
Asymmetric unit:
Ac1 0.000 0.089 0.000 [4 per cell]
Ac2 0.000 0.138 0.657 [4 per cell]
Sm1 0.000 0.454 0.804 [4 per cell]
Er1 0.000 0.224 0.382 [4 per cell]
Se1 0.000 0.074 0.434 [4 per cell]
Se2 0.000 0.263 0.026 [4 per cell]
Se3 0.000 0.300 0.746 [4 per cell]
Se4 0.000 0.379 0.337 [4 per cell]
Se5 0.000 0.494 0.116 [4 per cell]